# 1
BeSe2Cl PBE optimized geometry; DOS(E_F) = 2.92 states/eV/f.u.; energy relative to the elements, uncorrected = 2.7 eV per formula unit; energy relative to the lowest polymorph listed for this composition = 1117.7 meV per atom; density = 4.722 g/cm3; total energy = -2.450 eV per atom; symmetry = Fm-3m, No. 225
1.0
-4.357 1.322 -0.952
-3.507 -1.430 2.700
-2.174 3.026 2.785
Cl Se Be
1 2 1
Direct
0.500 0.500 0.500
0.250 0.250 0.250
0.750 0.750 0.750
0.000 0.000 0.000



# 2
BeSe2Cl PBE optimized geometry; DOS(E_F) = 2.51 states/eV/f.u.; energy relative to the elements, uncorrected = -0.1 eV per formula unit; energy relative to the lowest polymorph listed for this composition = 414.4 meV per atom; density = 3.796 g/cm3; total energy = -3.153 eV per atom; symmetry = Cmmm, No. 65
1.0
3.838 -0.081 0.000
-2.168 3.168 0.000
0.000 0.000 7.387
Se Cl Be
2 1 1
Direct
0.000 0.000 0.069
0.000 0.000 0.431
0.500 0.500 0.750
0.500 0.500 0.250